# V2BiTeO8

A relaxed V2BiTeO8 crystal (PBE with a Hubbard U, Alexandria via LeMat-Bulk).

extended XYZ file:
```
12
Lattice="-3.1099 2.4174 4.2656 -0.0151 -5.7642 -0.6957 5.2647 -0.5121 4.1284" Properties=species:S:1:pos:R:3 pbc="T T T"
V -1.0290 -0.4119 3.4346
V 3.1687 -3.4470 4.2637
Bi 0.0000 0.0000 0.0000
Te 2.6323 -0.2560 2.0642
O -0.7996 -3.0610 1.1518
O 0.4513 -0.2880 2.3838
O -1.1708 0.9711 4.6085
O 2.9394 -0.7978 6.5465
O 3.3106 -4.8300 3.0898
O 1.6885 -3.5709 5.3145
O 3.3174 -1.8244 3.4538
O -1.1777 -2.0344 4.2445
```

Computed properties:
Calculated volume ... 195.9 Å³/cell
Space group ... P-3m1
DFT total energy ... -6.49 eV per atom